No. 1
# Y3ReN (PBE-GGA, optimized geometry)
# relative energy among the computed polymorphs: 0.00 eV/f.u.
# energy relative to the elements, uncorrected: -386.6 meV/atom
# final energy: -42.10 eV per formula unit
data_Y3ReN
_symmetry_space_group_name_H-M 'P 1'
_symmetry_Int_Tables_number 1
_cell_length_a 4.707
_cell_length_b 4.707
_cell_length_c 4.707
_cell_angle_alpha 90.00
_cell_angle_beta 90.00
_cell_angle_gamma 90.00
loop_
_symmetry_equiv_pos_as_xyz
'x,y,z'
loop_
_atom_site_label
_atom_site_fract_x
_atom_site_fract_y
_atom_site_fract_z
_atom_site_occupancy
Y1 0.000 0.000 0.500 1
Y2 0.000 0.500 0.000 1
Y3 0.500 0.000 0.000 1
Re1 0.500 0.500 0.500 1
N1 0.000 0.000 0.000 1

---

No. 2
# YReN3 (PBE-GGA, optimized geometry)
# energy relative to the elements, uncorrected: -522.8 meV/atom
# final energy: -46.50 eV per formula unit
data_YReN3
_symmetry_space_group_name_H-M 'P 1'
_symmetry_Int_Tables_number 1
_cell_length_a 3.483
_cell_length_b 6.044
_cell_length_c 6.509
_cell_angle_alpha 110.78
_cell_angle_beta 97.56
_cell_angle_gamma 93.29
loop_
_symmetry_equiv_pos_as_xyz
'x,y,z'
loop_
_atom_site_label
_atom_site_fract_x
_atom_site_fract_y
_atom_site_fract_z
_atom_site_occupancy
Y1 0.055 0.313 0.234 1
Y2 0.945 0.687 0.766 1
Re1 0.495 0.869 0.299 1
Re2 0.505 0.131 0.701 1
N1 0.014 0.102 0.832 1
N2 0.396 0.745 0.534 1
N3 0.499 0.520 0.110 1
N4 0.501 0.480 0.890 1
N5 0.604 0.255 0.466 1
N6 0.986 0.898 0.168 1

---

No. 3
# YReN3 (PBE-GGA, optimized geometry)
# energy relative to the elements, uncorrected: -586.7 meV/atom
# final energy: -46.82 eV per formula unit
data_YReN3
_symmetry_space_group_name_H-M 'P 1'
_symmetry_Int_Tables_number 1
_cell_length_a 7.387
_cell_length_b 7.387
_cell_length_c 4.994
_cell_angle_alpha 92.28
_cell_angle_beta 92.28
_cell_angle_gamma 90.78
loop_
_symmetry_equiv_pos_as_xyz
'x,y,z'
loop_
_atom_site_label
_atom_site_fract_x
_atom_site_fract_y
_atom_site_fract_z
_atom_site_occupancy
Y1 0.119 0.330 0.347 1
Y2 0.330 0.119 0.847 1
Y3 0.670 0.881 0.153 1
Y4 0.881 0.670 0.653 1
Re1 0.201 0.799 0.250 1
Re2 0.444 0.556 0.750 1
Re3 0.556 0.444 0.250 1
Re4 0.799 0.201 0.750 1
N1 0.025 0.221 0.896 1
N2 0.190 0.630 0.530 1
N3 0.221 0.025 0.396 1
N4 0.318 0.436 0.064 1
N5 0.370 0.810 0.970 1
N6 0.436 0.318 0.564 1
N7 0.564 0.682 0.436 1
N8 0.630 0.190 0.030 1
N9 0.682 0.564 0.936 1
N10 0.779 0.975 0.604 1
N11 0.810 0.370 0.470 1
N12 0.975 0.779 0.104 1

---

No. 4
# YReN3 (PBE-GGA, optimized geometry)
# energy relative to the elements, uncorrected: -454.9 meV/atom
# final energy: -46.16 eV per formula unit
data_YReN3
_symmetry_space_group_name_H-M 'P 1'
_symmetry_Int_Tables_number 1
_cell_length_a 3.723
_cell_length_b 5.847
_cell_length_c 6.768
_cell_angle_alpha 68.33
_cell_angle_beta 86.59
_cell_angle_gamma 88.33
loop_
_symmetry_equiv_pos_as_xyz
'x,y,z'
loop_
_atom_site_label
_atom_site_fract_x
_atom_site_fract_y
_atom_site_fract_z
_atom_site_occupancy
Y1 0.000 0.000 0.000 1
Y2 0.490 0.891 0.527 1
Re1 0.496 0.424 0.172 1
Re2 0.937 0.387 0.501 1
N1 0.439 0.545 0.422 1
N2 0.488 0.095 0.159 1
N3 0.589 0.538 0.851 1
N4 0.815 0.440 0.760 1
N5 0.984 0.030 0.648 1
N6 0.986 0.556 0.174 1

---

No. 5
# YReN3 (PBE-GGA, optimized geometry)
# energy relative to the elements, uncorrected: -382.8 meV/atom
# final energy: -45.80 eV per formula unit
data_YReN3
_symmetry_space_group_name_H-M 'P 1'
_symmetry_Int_Tables_number 1
_cell_length_a 3.901
_cell_length_b 5.896
_cell_length_c 6.465
_cell_angle_alpha 103.71
_cell_angle_beta 103.40
_cell_angle_gamma 95.37
loop_
_symmetry_equiv_pos_as_xyz
'x,y,z'
loop_
_atom_site_label
_atom_site_fract_x
_atom_site_fract_y
_atom_site_fract_z
_atom_site_occupancy
Y1 0.000 0.000 0.000 1
Y2 0.321 0.610 0.332 1
Re1 0.452 0.388 0.756 1
Re2 0.824 0.171 0.458 1
N1 0.495 0.317 0.057 1
N2 0.513 0.889 0.170 1
N3 0.532 0.679 0.727 1
N4 0.810 0.341 0.224 1
N5 0.848 0.853 0.292 1
N6 0.941 0.304 0.768 1

---

No. 6
# YReN2 (PBE-GGA, optimized geometry)
# relative energy among the computed polymorphs: 2.70 eV/f.u.
# energy relative to the elements, uncorrected: 144.0 meV/atom
# final energy: -34.99 eV per formula unit
data_YReN2
_symmetry_space_group_name_H-M 'P 1'
_symmetry_Int_Tables_number 1
_cell_length_a 6.906
_cell_length_b 6.906
_cell_length_c 6.906
_cell_angle_alpha 26.42
_cell_angle_beta 26.42
_cell_angle_gamma 26.42
loop_
_symmetry_equiv_pos_as_xyz
'x,y,z'
loop_
_atom_site_label
_atom_site_fract_x
_atom_site_fract_y
_atom_site_fract_z
_atom_site_occupancy
Y1 0.000 0.000 0.000 1
Re1 0.500 0.500 0.500 1
N1 0.114 0.114 0.114 1
N2 0.886 0.886 0.886 1

---

No. 7
# YReN2 (PBE-GGA, optimized geometry)
# relative energy among the computed polymorphs: 2.25 eV/f.u.
# energy relative to the elements, uncorrected: 30.3 meV/atom
# final energy: -35.44 eV per formula unit
data_YReN2
_symmetry_space_group_name_H-M 'P 1'
_symmetry_Int_Tables_number 1
_cell_length_a 3.998
_cell_length_b 3.998
_cell_length_c 3.998
_cell_angle_alpha 60.00
_cell_angle_beta 60.00
_cell_angle_gamma 60.00
loop_
_symmetry_equiv_pos_as_xyz
'x,y,z'
loop_
_atom_site_label
_atom_site_fract_x
_atom_site_fract_y
_atom_site_fract_z
_atom_site_occupancy
Y1 0.000 0.000 0.000 1
Re1 0.500 0.500 0.500 1
N1 0.250 0.250 0.250 1
N2 0.750 0.750 0.750 1

---

No. 8
# YReN3 (PBE-GGA, optimized geometry)
# energy relative to the elements, uncorrected: -295.2 meV/atom
# final energy: -45.36 eV per formula unit
data_YReN3
_symmetry_space_group_name_H-M 'P 1'
_symmetry_Int_Tables_number 1
_cell_length_a 7.783
_cell_length_b 7.783
_cell_length_c 3.828
_cell_angle_alpha 90.00
_cell_angle_beta 90.00
_cell_angle_gamma 144.90
loop_
_symmetry_equiv_pos_as_xyz
'x,y,z'
loop_
_atom_site_label
_atom_site_fract_x
_atom_site_fract_y
_atom_site_fract_z
_atom_site_occupancy
Y1 0.158 0.842 0.750 1
Y2 0.842 0.158 0.250 1
Re1 0.410 0.590 0.750 1
Re2 0.590 0.410 0.250 1
N1 0.297 0.703 0.075 1
N2 0.297 0.703 0.425 1
N3 0.454 0.546 0.250 1
N4 0.546 0.454 0.750 1
N5 0.703 0.297 0.575 1
N6 0.703 0.297 0.925 1

---

No. 9
# Y3Re5N12 (PBE-GGA, optimized geometry)
# energy relative to the elements, uncorrected: -506.5 meV/atom
# final energy: -191.67 eV per formula unit
data_Y3Re5N12
_symmetry_space_group_name_H-M 'P 1'
_symmetry_Int_Tables_number 1
_cell_length_a 11.057
_cell_length_b 11.057
_cell_length_c 11.057
_cell_angle_alpha 109.47
_cell_angle_beta 109.47
_cell_angle_gamma 109.47
loop_
_symmetry_equiv_pos_as_xyz
'x,y,z'
loop_
_atom_site_label
_atom_site_fract_x
_atom_site_fract_y
_atom_site_fract_z
_atom_site_occupancy
Y1 0.125 0.250 0.375 1
Y2 0.125 0.375 0.750 1
Y3 0.250 0.375 0.125 1
Y4 0.250 0.875 0.625 1
Y5 0.375 0.125 0.250 1
Y6 0.375 0.750 0.125 1
Y7 0.625 0.250 0.875 1
Y8 0.625 0.875 0.750 1
Y9 0.750 0.125 0.375 1
Y10 0.750 0.625 0.875 1
Y11 0.875 0.625 0.250 1
Y12 0.875 0.750 0.625 1
Re1 0.000 0.000 0.000 1
Re2 0.000 0.000 0.500 1
Re3 0.000 0.500 0.000 1
Re4 0.000 0.500 0.500 1
Re5 0.125 0.750 0.875 1
Re6 0.125 0.875 0.250 1
Re7 0.250 0.125 0.875 1
Re8 0.250 0.625 0.375 1
Re9 0.375 0.250 0.625 1
Re10 0.375 0.625 0.750 1
Re11 0.500 0.000 0.000 1
Re12 0.500 0.000 0.500 1
Re13 0.500 0.500 0.000 1
Re14 0.500 0.500 0.500 1
Re15 0.625 0.375 0.250 1
Re16 0.625 0.750 0.375 1
Re17 0.750 0.375 0.625 1
Re18 0.750 0.875 0.125 1
Re19 0.875 0.125 0.750 1
Re20 0.875 0.250 0.125 1
N1 0.016 0.197 0.116 1
N2 0.016 0.319 0.900 1
N3 0.081 0.697 0.681 1
N4 0.081 0.884 0.400 1
N5 0.100 0.616 0.419 1
N6 0.100 0.984 0.681 1
N7 0.116 0.016 0.197 1
N8 0.116 0.600 0.919 1
N9 0.181 0.197 0.581 1
N10 0.181 0.484 0.600 1
N11 0.197 0.116 0.016 1
N12 0.197 0.581 0.181 1
N13 0.303 0.319 0.919 1
N14 0.303 0.484 0.384 1
N15 0.319 0.900 0.016 1
N16 0.319 0.919 0.303 1
N17 0.384 0.303 0.484 1
N18 0.384 0.581 0.900 1
N19 0.400 0.081 0.884 1
N20 0.400 0.819 0.516 1
N21 0.419 0.100 0.616 1
N22 0.419 0.819 0.803 1
N23 0.484 0.384 0.303 1
N24 0.484 0.600 0.181 1
N25 0.516 0.400 0.819 1
N26 0.516 0.616 0.697 1
N27 0.581 0.181 0.197 1
N28 0.581 0.900 0.384 1
N29 0.600 0.181 0.484 1
N30 0.600 0.919 0.116 1
N31 0.616 0.419 0.100 1
N32 0.616 0.697 0.516 1
N33 0.681 0.081 0.697 1
N34 0.681 0.100 0.984 1
N35 0.697 0.516 0.616 1
N36 0.697 0.681 0.081 1
N37 0.803 0.419 0.819 1
N38 0.803 0.884 0.984 1
N39 0.819 0.516 0.400 1
N40 0.819 0.803 0.419 1
N41 0.884 0.400 0.081 1
N42 0.884 0.984 0.803 1
N43 0.900 0.016 0.319 1
N44 0.900 0.384 0.581 1
N45 0.919 0.116 0.600 1
N46 0.919 0.303 0.319 1
N47 0.984 0.681 0.100 1
N48 0.984 0.803 0.884 1

---

Question: final energy of number 2 (YReN3)?
Answer: -46.50 eV per formula unit